1.
Density functional theory data (GGA-PBE) for TbY7Tm12 after structural relaxation.

Properties
Space-group type: Im-3m
Spin magnetization: 0.00 μB per formula unit
Total DFT energy (no corrections): -4.42 eV/atom
ΔH_f (0 K): 0.757 eV/atom

Lattice parameters (Å, degrees): 9.636 9.636 9.636 109.47 109.47 109.47
Positions (direct):
1 Tb 0.000 0.000 0.000
2 Y 0.500 0.500 0.000
3 Y 0.000 0.500 0.500
4 Y 0.500 0.000 0.500
5 Y 0.500 0.500 0.500
6 Y 0.000 0.000 0.500
7 Y 0.500 0.000 0.000
8 Y 0.000 0.500 0.000
9 Tm 0.502 0.751 0.751
10 Tm 0.000 0.751 0.249
11 Tm 0.498 0.249 0.249
12 Tm 0.000 0.249 0.751
13 Tm 0.751 0.000 0.249
14 Tm 0.751 0.502 0.751
15 Tm 0.249 0.000 0.751
16 Tm 0.249 0.498 0.249
17 Tm 0.751 0.751 0.502
18 Tm 0.249 0.249 0.498
19 Tm 0.751 0.249 0.000
20 Tm 0.249 0.751 0.000

=====

2.
Density functional theory data (GGA-PBE) for PmHo2Tm8 after structural relaxation.

Properties
Space-group type: C2/m
Spin magnetization: 0.00 μB per formula unit
Total DFT energy (no corrections): -4.41 eV/atom
ΔH_f (0 K): 0.104 eV/atom

Lattice parameters (Å, degrees): 5.377 8.249 9.002 115.13 107.38 90.00
Positions (direct):
1 Pm 0.500 0.000 0.000
2 Ho 0.798 0.341 0.597
3 Ho 0.202 0.659 0.403
4 Tm 0.382 0.557 0.764
5 Tm 0.666 0.893 0.332
6 Tm 0.840 0.802 0.681
7 Tm 0.982 0.278 0.963
8 Tm 0.160 0.198 0.319
9 Tm 0.334 0.107 0.668
10 Tm 0.618 0.443 0.236
11 Tm 0.018 0.722 0.037

=====

3.
Density functional theory data (GGA-PBE) for La3Tb8Ho2 after structural relaxation.

Properties
Space-group type: P-1
Spin magnetization: 0.00 μB per formula unit
Total DFT energy (no corrections): -4.67 eV/atom
ΔH_f (0 K): 0.023 eV/atom

Lattice parameters (Å, degrees): 6.242 8.044 9.517 65.07 90.00 97.50
Positions (direct):
1 La 0.000 0.000 0.000
2 La 0.540 0.233 0.845
3 La 0.460 0.767 0.155
4 Tb 0.228 0.384 0.079
5 Tb 0.772 0.616 0.921
6 Tb 0.152 0.923 0.388
7 Tb 0.848 0.077 0.612
8 Tb 0.311 0.846 0.765
9 Tb 0.079 0.467 0.689
10 Tb 0.921 0.533 0.311
11 Tb 0.689 0.154 0.235
12 Ho 0.617 0.693 0.539
13 Ho 0.383 0.307 0.461

=====

4.
Density functional theory data (GGA-PBE) for Ta2CoP after structural relaxation.

Properties
Space-group type: Pmmm
Spin magnetization: 0.00 μB per formula unit
Total DFT energy (no corrections): -9.27 eV/atom
ΔH_f (0 K): -0.212 eV/atom

Lattice parameters (Å, degrees): 3.617 4.558 3.565 90.00 90.00 90.00
Positions (direct):
1 Co 0.500 0.000 0.500
2 P 0.000 0.500 0.500
3 Ta 0.000 0.000 0.000
4 Ta 0.500 0.500 0.000

=====

5.
Density functional theory data (GGA-PBE) for Ac2TbPuSe5 after structural relaxation.

Properties
Space-group type: P4/mmm
Energy relative to the elements, uncorrected: -1.42 eV/atom
Spin magnetization: 6.60 μB per formula unit
Total DFT energy (no corrections): -6.37 eV/atom

Lattice parameters (Å, degrees): 5.166 5.166 11.121 90.00 90.00 90.00
Positions (direct):
1 Ac 0.500 0.500 0.284
2 Ac 0.500 0.500 0.716
3 Tb 0.000 0.000 0.500
4 Pu 0.000 0.000 0.000
5 Se 0.000 0.500 0.500
6 Se 0.500 0.000 0.500
7 Se 0.000 0.000 0.752
8 Se 0.000 0.000 0.248
9 Se 0.500 0.500 0.000

=====

6.
Density functional theory data (GGA-PBE) for NaCa9ScZn9Si20O60 after structural relaxation.

Properties
Space-group type: C2
Energy relative to the elements, uncorrected: -2.64 eV/atom
Spin magnetization: 0.00 μB per formula unit
Total DFT energy (no corrections): -7.07 eV/atom

Lattice parameters (Å, degrees): 6.745 6.745 25.715 85.97 85.97 84.75
Positions (direct):
1 Na 0.245 0.755 0.000
2 Ca 0.757 0.460 0.897
3 Ca 0.449 0.953 0.799
4 Ca 0.953 0.646 0.700
5 Ca 0.647 0.153 0.600
6 Ca 0.153 0.847 0.500
7 Ca 0.847 0.353 0.400
8 Ca 0.354 0.047 0.300
9 Ca 0.047 0.551 0.201
10 Ca 0.540 0.243 0.103
11 Sc 0.857 0.143 0.000
12 Zn 0.156 0.044 0.900
13 Zn 0.057 0.345 0.800
14 Zn 0.346 0.255 0.700
15 Zn 0.254 0.546 0.600
16 Zn 0.546 0.454 0.500
17 Zn 0.454 0.746 0.400
18 Zn 0.745 0.654 0.300
19 Zn 0.655 0.943 0.200
20 Zn 0.956 0.844 0.100
21 Si 0.247 0.534 0.897
22 Si 0.668 0.950 0.903
23 Si 0.531 0.449 0.796
24 Si 0.955 0.868 0.803
25 Si 0.448 0.732 0.696
26 Si 0.869 0.152 0.703
27 Si 0.732 0.648 0.596
28 Si 0.153 0.068 0.603
29 Si 0.648 0.932 0.496
30 Si 0.068 0.352 0.504
31 Si 0.932 0.847 0.397
32 Si 0.352 0.268 0.404
33 Si 0.848 0.131 0.297
34 Si 0.268 0.552 0.304
35 Si 0.132 0.045 0.197
36 Si 0.551 0.469 0.204
37 Si 0.050 0.332 0.097
38 Si 0.466 0.753 0.103
39 Si 0.332 0.254 0.996
40 Si 0.746 0.668 0.004
41 O 0.369 0.432 0.949
42 O 0.140 0.744 0.913
43 O 0.101 0.374 0.879
44 O 0.818 0.105 0.921
45 O 0.457 0.048 0.885
46 O 0.433 0.567 0.850
47 O 0.769 0.835 0.849
48 O 0.744 0.351 0.814
49 O 0.378 0.298 0.779
50 O 0.103 0.024 0.821
51 O 0.052 0.655 0.785
52 O 0.565 0.633 0.750
53 O 0.836 0.967 0.750
54 O 0.349 0.944 0.714
55 O 0.298 0.577 0.679
56 O 0.024 0.302 0.721
57 O 0.657 0.250 0.685
58 O 0.633 0.766 0.650
59 O 0.968 0.035 0.650
60 O 0.944 0.549 0.615
61 O 0.577 0.498 0.579
62 O 0.302 0.223 0.621
63 O 0.251 0.856 0.585
64 O 0.766 0.833 0.550
65 O 0.035 0.168 0.550
66 O 0.549 0.144 0.515
67 O 0.498 0.777 0.479
68 O 0.223 0.502 0.521
69 O 0.856 0.451 0.485
70 O 0.832 0.965 0.450
71 O 0.167 0.234 0.450
72 O 0.144 0.749 0.415
73 O 0.777 0.698 0.379
74 O 0.502 0.423 0.421
75 O 0.451 0.056 0.385
76 O 0.965 0.032 0.350
77 O 0.234 0.367 0.350
78 O 0.750 0.343 0.315
79 O 0.698 0.976 0.279
80 O 0.423 0.702 0.321
81 O 0.056 0.651 0.286
82 O 0.033 0.164 0.250
83 O 0.367 0.435 0.250
84 O 0.345 0.948 0.215
85 O 0.976 0.897 0.179
86 O 0.702 0.622 0.221
87 O 0.649 0.256 0.186
88 O 0.165 0.231 0.151
89 O 0.433 0.567 0.150
90 O 0.952 0.543 0.115
91 O 0.895 0.182 0.079
92 O 0.626 0.899 0.121
93 O 0.256 0.860 0.087
94 O 0.236 0.358 0.052
95 O 0.568 0.631 0.051
96 O 0.548 0.156 0.014
97 O 0.171 0.110 0.979
98 O 0.890 0.829 0.021
99 O 0.844 0.452 0.986
100 O 0.642 0.764 0.948